# Pu3Be2Si7 | the Alexandria database | GGA-PBE | relaxed
# Formation energy (no corrections) = -3.8 eV per formula unit
data_Pu3Be2Si7
_space_group_name_H-M_alt 'P 1 2/m 1'
_space_group_IT_number 10
_cell_length_a 3.956
_cell_length_b 3.999
_cell_length_c 12.427
_cell_angle_alpha 90.00
_cell_angle_beta 99.15
_cell_angle_gamma 90.00
loop_
_space_group_symop_operation_xyz
'x,y,z'
'-x,-y,-z'
'-x,y,-z'
'x,-y,z'
loop_
_atom_site_label
_atom_site_type_symbol
_atom_site_fract_x
_atom_site_fract_y
_atom_site_fract_z
_atom_site_occupancy
Pu1 Pu 0.000 0.000 0.000 1
Pu2 Pu 0.318 0.500 0.637 1
Be1 Be 0.132 0.000 0.265 1
Si1 Si 0.088 0.500 0.172 1
Si2 Si 0.224 0.000 0.447 1
Si3 Si 0.415 0.000 0.828 1
Si4 Si 0.500 0.500 0.000 1